[1]
! Pr3SbSBr PBE-GGA relaxed; values from VASP
! - magnetization (μB per formula unit) = 0.0
! - uncorrected energy (eV/atom) = -5.470
! - DOS at the Fermi energy (states/eV/f.u.) = 4.62
! - uncorrected formation energy (kJ/mol of atoms) = -137.64
&SYSTEM
  ibrav = 0, nat = 12, ntyp = 4
/
ATOMIC_SPECIES
Pr 140.91 Pr.upf
Sb 121.76 Sb.upf
S 32.06 S.upf
Br 79.90 Br.upf
ATOMIC_POSITIONS angstrom
Pr 0.848 1.071 1.612
Pr -0.679 3.213 8.935
Pr 0.712 3.213 5.126
Pr 3.821 1.071 4.940
Pr 5.212 1.071 1.131
Pr 3.685 3.213 8.454
Sb 3.076 3.213 2.591
Sb 1.457 1.071 7.476
S -2.544 1.071 8.913
S 7.077 3.213 1.154
Br -1.156 1.071 3.884
Br 5.690 3.213 6.182
CELL_PARAMETERS angstrom
8.174 0.000 0.000
0.000 4.284 0.000
-3.641 0.000 10.066


[2]
! EuErPt2 PBE-GGA relaxed; values from VASP
! - magnetization (μB per formula unit) = 7.0
! - uncorrected energy (eV/atom) = -7.780
! - DOS at the Fermi energy (states/eV/f.u.) = 9.51
! - energy relative to the elements (meV per atom) = -1051
&SYSTEM
  ibrav = 0, nat = 4, ntyp = 3
/
ATOMIC_SPECIES
Eu 151.96 Eu.upf
Er 167.26 Er.upf
Pt 195.08 Pt.upf
ATOMIC_POSITIONS angstrom
Eu 0.000 0.000 0.000
Er 3.517 3.517 3.517
Pt 1.758 1.758 1.758
Pt 5.275 5.275 5.275
CELL_PARAMETERS angstrom
0.000 3.517 3.517
3.517 0.000 3.517
3.517 3.517 0.000


[3]
! NaErAs2O6 PBE-GGA relaxed; values from VASP
! - magnetization (μB per formula unit) = 0.0
! - uncorrected energy (eV/atom) = -6.352
! - DOS at the Fermi energy (states/eV/f.u.) = 2.16
! - uncorrected formation energy (kJ/mol of atoms) = -179.41
&SYSTEM
  ibrav = 0, nat = 20, ntyp = 4
/
ATOMIC_SPECIES
Na 22.99 Na.upf
Er 167.26 Er.upf
As 74.92 As.upf
O 16.00 O.upf
ATOMIC_POSITIONS angstrom
Na 3.084 2.703 4.659
Na 4.491 -2.703 1.553
Er 4.491 0.875 1.553
Er 3.084 -0.875 4.659
As -0.040 0.716 4.636
As 1.366 -0.716 1.531
As 6.209 0.716 4.681
As 7.615 -0.716 1.575
O 2.879 2.288 1.740
O 0.326 0.147 2.835
O -1.081 -0.147 5.941
O 1.590 0.797 5.403
O 6.103 2.288 1.365
O 2.997 -0.797 2.297
O 4.578 0.797 3.914
O 1.472 -2.288 4.846
O 5.985 -0.797 0.808
O 8.656 0.147 0.270
O 7.249 -0.147 3.376
O 4.696 -2.288 4.471
CELL_PARAMETERS angstrom
5.194 -4.681 0.000
5.194 4.681 0.000
-2.813 0.000 6.212


[4]
! Th3Mn5S12 PBE-GGA relaxed; values from VASP
! - magnetization (μB per formula unit) = 23.0
! - uncorrected energy (eV/atom) = -7.062
! - DOS at the Fermi energy (states/eV/f.u.) = 5.46
! - uncorrected formation energy (kJ/mol of atoms) = -113.87
&SYSTEM
  ibrav = 0, nat = 80, ntyp = 3
/
ATOMIC_SPECIES
Th 232.04 Th.upf
Mn 54.94 Mn.upf
S 32.06 S.upf
ATOMIC_POSITIONS angstrom
Th 3.802 1.901 0.000
Th 7.605 3.802 -1.901
Th 1.901 0.000 3.802
Th 9.506 0.000 3.802
Th 0.000 3.802 1.901
Th 3.802 -1.901 7.605
Th 3.802 9.506 0.000
Th 7.605 3.802 5.704
Th -1.901 7.605 3.802
Th 5.704 7.605 3.802
Th 0.000 3.802 9.506
Th 3.802 5.704 7.605
Mn 0.000 0.000 0.000
Mn 3.802 3.802 -3.802
Mn 3.802 -3.802 3.802
Mn 7.605 0.000 0.000
Mn 11.407 1.901 0.000
Mn 7.605 -3.802 5.704
Mn 5.704 7.605 -3.802
Mn 5.704 0.000 3.802
Mn 3.802 5.704 0.000
Mn 7.605 3.802 1.901
Mn -3.802 3.802 3.802
Mn 0.000 7.605 0.000
Mn 0.000 0.000 7.605
Mn 3.802 3.802 3.802
Mn 0.000 3.802 5.704
Mn 3.802 1.901 7.605
Mn 1.901 7.605 3.802
Mn 1.901 0.000 11.407
Mn 0.000 11.407 1.901
Mn -3.802 5.704 7.605
S 2.277 -0.396 0.922
S 9.130 4.725 -4.199
S 9.882 0.396 0.922
S 9.130 -2.880 4.199
S 7.208 -0.922 2.277
S 11.804 -1.525 2.880
S 0.922 2.277 -0.396
S 10.485 3.406 -1.525
S 4.725 4.199 -1.525
S 6.683 2.277 0.396
S -0.396 0.922 2.277
S 4.199 -1.525 4.725
S 7.208 6.683 -2.277
S 4.199 1.525 2.880
S 4.725 -4.199 9.130
S 6.683 -2.277 7.208
S 2.880 4.199 1.525
S 8.527 5.328 0.396
S 4.199 9.130 -2.880
S 7.208 0.922 5.328
S 2.277 7.208 -0.922
S 9.130 2.880 3.406
S 1.525 2.880 4.199
S 2.277 0.396 6.683
S 5.328 7.208 0.922
S 6.080 4.725 3.406
S -1.525 4.725 4.199
S 5.328 0.396 8.527
S 0.396 6.683 2.277
S 3.406 -1.525 10.485
S -0.922 2.277 7.208
S 4.725 3.406 6.080
S 0.922 9.882 0.396
S 2.880 11.804 -1.525
S 3.406 6.080 4.725
S 0.396 0.922 9.882
S 3.406 9.130 2.880
S 8.001 6.683 5.328
S 0.922 5.328 7.208
S 2.880 3.406 9.130
S -2.880 4.199 9.130
S 6.683 5.328 8.001
S -4.199 9.130 4.725
S 0.396 8.527 5.328
S -1.525 10.485 3.406
S -2.277 7.208 6.683
S -1.525 2.880 11.804
S 5.328 8.001 6.683
CELL_PARAMETERS angstrom
-7.605 7.605 7.605
7.605 -7.605 7.605
7.605 7.605 -7.605


[5]
! TbPr2P3Rh12 PBE-GGA relaxed; values from VASP
! - magnetization (μB per formula unit) = 0.0
! - uncorrected energy (eV/atom) = -6.908
! - DOS at the Fermi energy (states/eV/f.u.) = 19.05
! - energy relative to the elements (meV per atom) = -318
&SYSTEM
  ibrav = 0, nat = 18, ntyp = 4
/
ATOMIC_SPECIES
Tb 158.93 Tb.upf
Pr 140.91 Pr.upf
P 30.97 P.upf
Rh 102.91 Rh.upf
ATOMIC_POSITIONS angstrom
Tb 0.000 0.000 0.000
Pr 0.000 0.000 4.822
Pr 0.000 0.000 8.086
P -4.532 0.000 6.454
P -2.266 1.308 2.151
P 2.266 1.308 2.151
Rh -2.484 -1.434 5.848
Rh 0.000 -2.556 4.382
Rh -2.214 1.278 4.382
Rh -2.214 -1.278 8.526
Rh 0.000 -2.868 7.060
Rh -2.484 1.434 7.060
Rh 2.484 -1.434 5.848
Rh 0.000 2.868 5.848
Rh 2.214 1.278 4.382
Rh 2.214 -1.278 8.526
Rh 0.000 2.556 8.526
Rh 2.484 1.434 7.060
CELL_PARAMETERS angstrom
4.532 2.617 4.303
-4.532 2.617 4.303
0.000 -5.234 4.303


[6]
! RbFe3I12 PBE-GGA relaxed; values from VASP
! - magnetization (μB per formula unit) = 13.0
! - uncorrected energy (eV/atom) = -3.083
! - DOS at the Fermi energy (states/eV/f.u.) = 5.49
! - uncorrected formation energy (kJ/mol of atoms) = -26.31
&SYSTEM
  ibrav = 0, nat = 32, ntyp = 3
/
ATOMIC_SPECIES
Rb 85.47 Rb.upf
Fe 55.84 Fe.upf
I 126.90 I.upf
ATOMIC_POSITIONS angstrom
Rb 0.000 0.000 0.000
Rb 0.000 0.000 18.899
Fe -1.911 -3.546 14.400
Fe -4.262 -0.253 20.699
Fe -2.115 3.428 14.400
Fe 2.350 -3.564 20.699
Fe 4.026 0.117 14.400
Fe 1.911 3.818 20.699
I -3.627 -1.785 13.941
I -0.268 -3.329 7.642
I -2.750 1.896 7.642
I -0.554 -3.540 12.281
I -3.588 -1.432 18.581
I -2.788 2.250 12.281
I -4.043 -1.705 22.750
I -0.545 -3.010 16.451
I -2.334 1.977 16.451
I -3.633 -1.937 27.430
I -0.139 -3.249 21.131
I -2.744 1.745 21.131
I 3.017 1.433 7.642
I 3.360 -2.249 13.941
I 0.267 4.034 13.941
I 3.034 -2.392 18.581
I 3.343 1.290 12.281
I 2.879 1.033 16.451
I 0.554 3.824 18.581
I 3.498 -2.649 22.750
I 0.545 4.354 22.750
I 2.883 1.504 21.131
I 3.494 -2.177 27.430
I 0.139 4.114 27.430
CELL_PARAMETERS angstrom
6.377 3.682 12.599
-6.377 3.682 12.599
0.000 -7.363 12.599


[7]
! BaPt2Se PBE-GGA relaxed; values from VASP
! - magnetization (μB per formula unit) = 0.0
! - uncorrected energy (eV/atom) = -4.716
! - DOS at the Fermi energy (states/eV/f.u.) = 2.09
! - uncorrected formation energy (kJ/mol of atoms) = -33.19
&SYSTEM
  ibrav = 0, nat = 4, ntyp = 3
/
ATOMIC_SPECIES
Ba 137.33 Ba.upf
Pt 195.08 Pt.upf
Se 78.96 Se.upf
ATOMIC_POSITIONS angstrom
Ba 0.000 0.000 0.000
Pt 0.000 0.000 3.073
Pt 1.882 1.882 2.392
Se 1.882 1.882 4.866
CELL_PARAMETERS angstrom
3.765 0.000 0.000
0.000 3.765 0.000
0.000 0.000 6.679


[8]
! YEr3Al4 PBE-GGA relaxed; values from VASP
! - magnetization (μB per formula unit) = 0.0
! - uncorrected energy (eV/atom) = -4.790
! - DOS at the Fermi energy (states/eV/f.u.) = 3.03
! - energy relative to the elements (meV per atom) = -400
&SYSTEM
  ibrav = 0, nat = 8, ntyp = 3
/
ATOMIC_SPECIES
Y 88.91 Y.upf
Er 167.26 Er.upf
Al 26.98 Al.upf
ATOMIC_POSITIONS angstrom
Y 0.000 0.000 0.000
Er 0.000 0.000 3.577
Er 2.528 2.528 0.000
Er 2.528 2.528 3.577
Al 0.000 2.528 1.804
Al 0.000 2.528 5.350
Al 2.528 0.000 1.804
Al 2.528 0.000 5.350
CELL_PARAMETERS angstrom
5.057 0.000 0.000
0.000 5.057 0.000
0.000 0.000 7.155


[9]
! Zr2TePb PBE-GGA relaxed; values from VASP
! - magnetization (μB per formula unit) = 0.0
! - uncorrected energy (eV/atom) = -5.656
! - DOS at the Fermi energy (states/eV/f.u.) = 4.12
! - uncorrected formation energy (kJ/mol of atoms) = 31.93
&SYSTEM
  ibrav = 0, nat = 8, ntyp = 3
/
ATOMIC_SPECIES
Zr 91.22 Zr.upf
Te 127.60 Te.upf
Pb 207.20 Pb.upf
ATOMIC_POSITIONS angstrom
Zr 1.647 -1.644 4.916
Zr 1.649 1.647 1.639
Zr 1.647 4.938 -1.639
Zr 1.644 1.647 8.194
Te 0.000 0.000 0.000
Te 0.000 3.293 3.277
Pb 3.293 0.000 3.277
Pb 0.000 0.000 6.555
CELL_PARAMETERS angstrom
-3.293 3.293 6.555
3.293 -3.293 6.555
3.293 3.293 -6.555


[10]
! ZnP4 PBE-GGA relaxed; values from VASP
! - magnetization (μB per formula unit) = 0.0
! - uncorrected energy (eV/atom) = -3.317
! - DOS at the Fermi energy (states/eV/f.u.) = 5.07
! - energy relative to the elements (meV per atom) = 1266
&SYSTEM
  ibrav = 0, nat = 5, ntyp = 2
/
ATOMIC_SPECIES
Zn 65.41 Zn.upf
P 30.97 P.upf
ATOMIC_POSITIONS angstrom
Zn 0.000 0.000 0.000
P 0.000 0.000 2.286
P 0.000 2.286 0.000
P 2.286 0.000 0.000
P 2.286 2.286 2.286
CELL_PARAMETERS angstrom
4.573 0.000 0.000
0.000 4.573 0.000
0.000 0.000 4.573


[11]
! Zr2Co PBE-GGA relaxed; values from VASP
! - magnetization (μB per formula unit) = 0.0
! - uncorrected energy (eV/atom) = -7.690
! - DOS at the Fermi energy (states/eV/f.u.) = 3.21
! - energy relative to the elements (meV per atom) = 378
&SYSTEM
  ibrav = 0, nat = 3, ntyp = 2
/
ATOMIC_SPECIES
Zr 91.22 Zr.upf
Co 58.93 Co.upf
ATOMIC_POSITIONS angstrom
Zr 0.000 2.695 0.000
Zr 2.334 1.348 0.000
Co 0.000 0.000 1.408
CELL_PARAMETERS angstrom
4.668 0.000 0.000
-2.334 4.043 0.000
0.000 0.000 2.817


[12]
! Ce3Mg4Tl4 PBE-GGA relaxed; values from VASP
! - magnetization (μB per formula unit) = 2.9
! - uncorrected energy (eV/atom) = -3.183
! - DOS at the Fermi energy (states/eV/f.u.) = 17.29
! - energy relative to the elements (meV per atom) = -124
&SYSTEM
  ibrav = 0, nat = 11, ntyp = 3
/
ATOMIC_SPECIES
Ce 140.12 Ce.upf
Mg 24.30 Mg.upf
Tl 204.38 Tl.upf
ATOMIC_POSITIONS angstrom
Ce 0.000 0.000 0.000
Ce 2.390 0.000 1.564
Ce 6.992 0.000 1.564
Mg 0.000 0.000 4.158
Mg 2.445 0.000 11.025
Mg 4.691 0.000 4.192
Mg 6.938 0.000 11.025
Tl 0.000 0.000 9.144
Tl 2.348 0.000 6.048
Tl 4.691 0.000 8.913
Tl 7.035 0.000 6.048
CELL_PARAMETERS angstrom
9.383 0.000 0.000
0.000 2.343 6.775
0.000 -2.343 6.775


[13]
! AcTmBi3 PBE-GGA relaxed; values from VASP
! - magnetization (μB per formula unit) = 0.0
! - uncorrected energy (eV/atom) = -4.263
! - DOS at the Fermi energy (states/eV/f.u.) = 3.01
! - energy relative to the elements (meV per atom) = -218
&SYSTEM
  ibrav = 0, nat = 5, ntyp = 3
/
ATOMIC_SPECIES
Ac 227.00 Ac.upf
Tm 168.93 Tm.upf
Bi 208.98 Bi.upf
ATOMIC_POSITIONS angstrom
Ac 0.000 0.000 0.000
Tm 2.891 2.891 2.891
Bi 0.000 2.891 2.891
Bi 2.891 0.000 2.891
Bi 2.891 2.891 0.000
CELL_PARAMETERS angstrom
5.783 0.000 0.000
0.000 5.783 0.000
0.000 0.000 5.783


[14]
! LiMgHg PBE-GGA relaxed; values from VASP
! - magnetization (μB per formula unit) = 0.0
! - uncorrected energy (eV/atom) = -1.546
! - DOS at the Fermi energy (states/eV/f.u.) = 0.81
! - energy relative to the elements (meV per atom) = -276
&SYSTEM
  ibrav = 0, nat = 3, ntyp = 3
/
ATOMIC_SPECIES
Li 6.94 Li.upf
Mg 24.30 Mg.upf
Hg 200.59 Hg.upf
ATOMIC_POSITIONS angstrom
Li 0.000 0.000 0.000
Mg 0.000 0.000 6.270
Hg 0.000 0.000 3.265
CELL_PARAMETERS angstrom
-1.762 1.774 4.656
1.762 -1.774 4.656
1.762 1.774 -4.656


[15]
! KBa2ZrCu PBE-GGA relaxed; values from VASP
! - magnetization (μB per formula unit) = 0.8
! - uncorrected energy (eV/atom) = -3.054
! - DOS at the Fermi energy (states/eV/f.u.) = 4.90
! - energy relative to the elements (meV per atom) = 464
&SYSTEM
  ibrav = 0, nat = 5, ntyp = 4
/
ATOMIC_SPECIES
K 39.10 K.upf
Ba 137.33 Ba.upf
Zr 91.22 Zr.upf
Cu 63.55 Cu.upf
ATOMIC_POSITIONS angstrom
K 0.000 0.000 0.000
Ba 0.000 3.257 2.592
Ba 3.257 0.000 2.592
Zr 3.257 3.257 0.000
Cu 3.257 3.257 2.592
CELL_PARAMETERS angstrom
6.514 0.000 0.000
0.000 6.514 0.000
0.000 0.000 5.184